! ZrTlCl2 | Alexandria | GGA-PBE | relaxed; values from VASP
&SYSTEM
  ibrav = 0, nat = 4, ntyp = 3
/
ATOMIC_SPECIES
Tl 204.38 Tl.upf
Zr 91.22 Zr.upf
Cl 35.45 Cl.upf
CELL_PARAMETERS angstrom
6.226 0.011 0.000
3.506 5.146 0.000
-4.866 -2.578 2.905
ATOMIC_POSITIONS crystal
Tl 0.500 0.500 0.000
Zr 0.750 0.250 0.500
Cl 0.000 0.000 0.000
Cl 0.250 0.750 0.500
! space-group type: No. 119
! calculated volume: 23.24 Å³/atom
! ΔE_f (raw): -0.30 eV per atom
! distance to the lowest polymorph of the same formula: 778.4 meV per atom
! Fermi-level density of states: 3.651 states/eV/f.u.